The following is a DFT calculation (GGA+U) of a geometry-optimized ScCr4F12 structure.

The calculated volume is 14.91 Å³/atom. Its total magnetization is 15.0 μB/cell. The final energy is -6.32 eV/atom.

The space group is P-1 (No. 2) and the conventional cell measures 6.6794, 6.9227 and 7.0131 Å, with angles of 107.09, 106.90 and 112.90 degrees. Symmetry generates all atoms from Sc at (0.0000, 0.0000, 0.0000), Cr at (0.0000, 0.0000, 0.5000), Cr at (0.0000, 0.5000, 0.0000), Cr at (0.5000, 0.0000, 0.0000), Cr at (0.5000, 0.5000, 0.5000), F at (0.0400, 0.8492, 0.2193), F at (0.1753, 0.3768, 0.2053), F at (0.1890, 0.9352, 0.7893), F at (0.2962, 0.3046, 0.6013), F at (0.3171, 0.7084, 0.0114) and F at (0.4013, 0.1551, 0.2058).